# 1
The following is a PBE-GGA calculation of a relaxed KTc2As2 crystal, from Alexandria via LeMat-Bulk.

abc: 7.864 7.864 2.889
angles: 90.00 90.00 90.00
Positions (direct):
K: 0.000 0.000 0.000
K: 0.500 0.500 0.000
Tc: 0.127 0.373 0.000
Tc: 0.373 0.873 0.000
Tc: 0.627 0.127 0.000
Tc: 0.873 0.627 0.000
As: 0.150 0.650 0.500
As: 0.350 0.150 0.500
As: 0.650 0.850 0.500
As: 0.850 0.350 0.500

Values from the calculation:
As for the calculated volume: 17.87 Å³/atom. The energy above the most stable polymorph in this dataset comes out at 2.51 eV per formula unit. As for the density of states at the Fermi level: 1.15 states/eV/atom. The value obtained for the energy relative to the elements is 5.57 kcal/mol of atoms. Its symmetry is No. 127. Its total energy is -5.98 eV/atom. Its spin magnetization is 0.00 μB/atom.

***

# 2
The following is a PBE-GGA calculation of a relaxed KTcAs crystal, from Alexandria via LeMat-Bulk.

abc: 6.627 6.627 6.627
angles: 150.70 150.70 41.92
Positions (direct):
K: 0.000 0.000 0.000
Tc: 0.279 0.279 0.000
As: 0.719 0.719 0.000

Values from the calculation:
As for the calculated volume: 23.19 Å³/atom. The energy above the most stable polymorph in this dataset comes out at 1.28 eV per formula unit. As for the density of states at the Fermi level: 0.62 states/eV/atom. The value obtained for the energy relative to the elements is 4.18 kcal/mol of atoms. Its symmetry is No. 107. Its total energy is -5.19 eV/atom. Its spin magnetization is 0.00 μB/atom.

***

# 3
The following is a PBE-GGA calculation of a relaxed KTc3As crystal, from Alexandria via LeMat-Bulk.

abc: 4.583 4.583 4.583
angles: 90.00 90.00 90.00
Positions (direct):
K: 0.000 0.000 0.000
Tc: 0.000 0.000 0.500
Tc: 0.000 0.500 0.000
Tc: 0.500 0.000 0.000
As: 0.500 0.500 0.500

Values from the calculation:
As for the calculated volume: 19.25 Å³/atom. The energy above the most stable polymorph in this dataset comes out at 9.01 eV per formula unit. As for the density of states at the Fermi level: 1.49 states/eV/atom. The value obtained for the energy relative to the elements is 71.55 kcal/mol of atoms. Its symmetry is No. 221. Its total energy is -4.27 eV/atom. Its spin magnetization is 0.61 μB/atom.

***

# 4
The following is a PBE-GGA calculation of a relaxed K2TcAs crystal, from Alexandria via LeMat-Bulk.

abc: 6.182 6.182 2.983
angles: 90.08 90.08 127.79
Positions (direct):
K: 0.000 0.500 0.000
K: 0.500 0.000 0.000
Tc: 0.000 0.000 0.500
As: 0.500 0.500 0.500

Values from the calculation:
As for the calculated volume: 22.53 Å³/atom. As for the density of states at the Fermi level: 0.56 states/eV/atom. The value obtained for the energy relative to the elements is 18.14 kcal/mol of atoms. Its symmetry is No. 12. Its total energy is -3.52 eV/atom. Its spin magnetization is 0.02 μB/atom.